Entry from the Alexandria database: an optimized crystal structure of K3Nd2UO6 (PBE).

CIF file:
```
data_K3Nd2UO6
_symmetry_space_group_name_H-M 'C 1 2/m 1'
_symmetry_Int_Tables_number 12
_symmetry_space_group_name_Hall '-C 2y'
_cell_length_a 6.2759
_cell_length_b 10.8689
_cell_length_c 6.6652
_cell_angle_alpha 90.00
_cell_angle_beta 108.36
_cell_angle_gamma 90.00
loop_
_atom_site_label
_atom_site_fract_x
_atom_site_fract_y
_atom_site_fract_z
K1 0.0000 0.0000 0.0000
K2 0.0000 0.3327 0.0000
Nd1 0.0000 0.1665 0.5000
U1 0.0000 0.5000 0.5000
O1 0.2194 0.3431 0.6862
O2 0.2482 0.0000 0.6867
```

Results
The total energy comes out at -167.017 eV for the cell shown. The density of states at the Fermi level is 0.702 states/eV/atom. The calculation puts the formation energy (no corrections) at -2.470 eV/atom.